Entry from the Alexandria database: an optimized crystal structure of Tm4Ga2O (GGA-PBE).

## Properties
E   -5.014 eV per atom
DOS at the Fermi energy   0.874 states/eV per atom

Unit cell a=4.455 b=4.455 c=16.263 alpha=90.00 beta=90.00 gamma=90.00
Space group I4/mmm (No. 139)
One atom of each set of equivalent atoms:
Tm 0.000 0.000 0.174 [4 per cell]
Tm 0.000 0.500 0.000 [4 per cell]
Ga 0.000 0.000 0.354 [4 per cell]
O 0.000 0.000 0.500 [2 per cell]